Cs3Pr2InS6 | Alexandria via LeMat-Bulk | PBE | optimized geometry; spin magnetization = 0.0 μB/cell; formation energy (no corrections) = -1.443 eV per atom
1.0
3.6364 -6.2961 0.0000
3.6364 6.2961 0.0000
-2.4368 0.0000 8.0955
Cs Pr In S
3 2 1 6
Direct
0.0000 0.0000 0.0000
0.3309 0.6691 0.0000
0.6691 0.3309 0.0000
0.1662 0.8338 0.5000
0.8338 0.1662 0.5000
0.5000 0.5000 0.5000
0.1209 0.4386 0.3161
0.2434 0.2434 0.6862
0.4386 0.1209 0.3161
0.5614 0.8791 0.6839
0.7566 0.7566 0.3138
0.8791 0.5614 0.6839

CsPrInSe3 | Alexandria via LeMat-Bulk | PBE | optimized geometry; spin magnetization = 0.0 μB/cell; formation energy (no corrections) = -1.214 eV per atom
1.0
9.4592 0.0000 0.0000
0.0000 4.8107 0.0000
-3.4234 0.0000 10.0328
Cs Pr In Se
2 2 2 6
Direct
0.2177 0.2500 0.2402
0.7823 0.7500 0.7598
0.3338 0.7500 0.8652
0.6662 0.2500 0.1348
0.1102 0.2500 0.5984
0.8898 0.7500 0.4016
0.1184 0.2500 0.8540
0.2164 0.7500 0.5495
0.4741 0.7500 0.1519
0.5259 0.2500 0.8481
0.7836 0.2500 0.4505
0.8816 0.7500 0.1460

Please write out number 1 again, unchanged.
Cs3Pr2InS6 | Alexandria via LeMat-Bulk | PBE | optimized geometry; spin magnetization = 0.0 μB/cell; formation energy (no corrections) = -1.443 eV per atom
1.0
3.6364 -6.2961 0.0000
3.6364 6.2961 0.0000
-2.4368 0.0000 8.0955
Cs Pr In S
3 2 1 6
Direct
0.0000 0.0000 0.0000
0.3309 0.6691 0.0000
0.6691 0.3309 0.0000
0.1662 0.8338 0.5000
0.8338 0.1662 0.5000
0.5000 0.5000 0.5000
0.1209 0.4386 0.3161
0.2434 0.2434 0.6862
0.4386 0.1209 0.3161
0.5614 0.8791 0.6839
0.7566 0.7566 0.3138
0.8791 0.5614 0.6839